# ThPdPt2, relaxed, DFT PBE-GGA
data_ThPdPt2
_chemical_formula_sum 'Th3 Pd3 Pt6'
_symmetry_space_group_name_H-M 'R -3 m'
_symmetry_Int_Tables_number 166
_symmetry_space_group_name_Hall '-R 3 2"'
_cell_length_a 4.5864
_cell_length_b 4.5864
_cell_length_c 13.5165
_cell_angle_alpha 90.00
_cell_angle_beta 90.00
_cell_angle_gamma 120.00
loop_
_atom_site_label
_atom_site_type_symbol
_atom_site_fract_x
_atom_site_fract_y
_atom_site_fract_z
Th1 Th 0.0000 0.0000 0.0000
Pd1 Pd 0.0000 0.0000 0.5000
Pt1 Pt 0.0000 0.0000 0.2144
# Energy: -7.047 eV/atom
# DOS at the Fermi energy: 4.14 states/eV/cell